(1)
# SmPuTl

A geometry-optimized SmPuTl structure (PBE, Alexandria via LeMat-Bulk).

Structure (CIF):
```
data_SmPuTl
_space_group_name_H-M_alt 'P 3 m 1'
_space_group_IT_number 156
_cell_length_a 5.3565
_cell_length_b 5.3565
_cell_length_c 3.4731
_cell_angle_alpha 90.00
_cell_angle_beta 90.00
_cell_angle_gamma 120.00
loop_
_space_group_symop_operation_xyz
'x,y,z'
'-y,x-y,z'
'-x+y,-x,z'
'-y,-x,z'
'-x+y,y,z'
'x,x-y,z'
loop_
_atom_site_label
_atom_site_type_symbol
_atom_site_fract_x
_atom_site_fract_y
_atom_site_fract_z
Sm1 Sm 0.0000 0.0000 0.0000
Pu1 Pu 0.6667 0.3333 0.4051
Tl1 Tl 0.3333 0.6667 0.6878
```

Properties
Density = 11.52 g cm⁻³
Total DFT energy (no corrections) = -7.129 eV/atom

(2)
# Sm5PuTl3

A geometry-optimized Sm5PuTl3 structure (PBE, Alexandria via LeMat-Bulk).

Structure (CIF):
```
data_Sm5PuTl3
_space_group_name_H-M_alt 'P 63/m c m'
_space_group_IT_number 193
_space_group_name_Hall '-P 6c 2'
_cell_length_a 9.5369
_cell_length_b 9.5369
_cell_length_c 6.7494
_cell_angle_alpha 90.00
_cell_angle_beta 90.00
_cell_angle_gamma 120.00
loop_
_atom_site_label
_atom_site_type_symbol
_atom_site_fract_x
_atom_site_fract_y
_atom_site_fract_z
Sm1 Sm 0.0000 0.3154 0.2500
Sm2 Sm 0.3333 0.6667 0.0000
Pu1 Pu 0.0000 0.0000 0.0000
Tl1 Tl 0.0000 0.3477 0.7500
```

Properties
Density = 10.05 g cm⁻³
Total DFT energy (no corrections) = -5.240 eV/atom

(3)
# Sm2PuTl4

A geometry-optimized Sm2PuTl4 structure (PBE, Alexandria via LeMat-Bulk).

Structure (CIF):
```
data_Sm2PuTl4
_space_group_name_H-M_alt 'P 4/m m m'
_space_group_IT_number 123
_space_group_name_Hall '-P 4 2'
_cell_length_a 5.328
_cell_length_b 5.328
_cell_length_c 7.611
_cell_angle_alpha 90.00
_cell_angle_beta 90.00
_cell_angle_gamma 90.00
loop_
_atom_site_label
_atom_site_type_symbol
_atom_site_fract_x
_atom_site_fract_y
_atom_site_fract_z
Sm1 Sm 0.000 0.000 0.000
Sm2 Sm 0.500 0.500 0.500
Pu1 Pu 0.000 0.000 0.500
Tl1 Tl 0.000 0.500 0.231
```

Properties
Density = 10.47 g cm⁻³
Total DFT energy (no corrections) = -4.869 eV/atom